Below is PIrRu2 after structural relaxation, with properties calculated at the PBE level.

Output
formation enthalpy at 0 K: -0.116 eV/atom
symmetry: P2/m (10)
V: 55 Å³ per cell

a = 2.8561 Å, b = 3.8345 Å, c = 5.1825 Å
α = 90.00°, β = 104.51°, γ = 90.00°
With the nearest neighbours (Å) after each atom.
Sites, in units of the cell vectors:
1 P 0.0000 0.0000 0.0000  4 Ru 2.37, 2 Ir 2.59
2 Ir 0.0000 0.0000 0.5000  2 P 2.59, 8 Ru 2.71-2.76, 2 Ir 2.86
3 Ru 0.3640 0.5000 0.2343  2 P 2.37
4 Ru 0.6360 0.5000 0.7657  2 P 2.37